This record from Alexandria describes a geometry-optimized Pm2Zn3Ag structure. The functional is PBE. Values from VASP.

```
&SYSTEM
  ibrav = 0, nat = 12, ntyp = 3
/
ATOMIC_SPECIES
Pm 145.00 Pm.upf
Zn 65.41 Zn.upf
Ag 107.87 Ag.upf
ATOMIC_POSITIONS crystal
Pm 0.255 0.255 0.000
Zn 0.163 0.163 0.326
Ag 0.667 0.667 0.335
Zn 0.328 0.837 0.164
Zn 0.672 0.163 0.836
Zn 0.837 0.837 0.674
Zn 0.837 0.328 0.164
Ag 0.333 0.333 0.665
Pm 0.250 0.750 0.500
Zn 0.163 0.672 0.836
Pm 0.745 0.745 0.000
Pm 0.750 0.250 0.500
CELL_PARAMETERS angstrom
5.778 -0.701 0.000
-0.925 5.747 0.000
-2.427 -2.523 8.048
```

Output
Magnetic moment = 0.0000 μB per atom
Symmetry = Fmmm
Theoretical density = 7.5 Mg/m³
ΔE_f = -0.3361 eV per atom

=====

This record from Alexandria describes a geometry-optimized Pm3Zn3Ag2 structure. The functional is PBE. Values from VASP.

```
&SYSTEM
  ibrav = 0, nat = 16, ntyp = 3
/
ATOMIC_SPECIES
Pm 145.00 Pm.upf
Zn 65.41 Zn.upf
Ag 107.87 Ag.upf
ATOMIC_POSITIONS crystal
Pm 0.097 0.194 0.894
Pm 0.625 0.250 0.250
Zn 0.606 0.211 0.041
Zn 0.342 0.683 0.250
Zn 0.394 0.789 0.541
Ag 0.800 0.600 0.599
Ag 0.200 0.400 0.099
Zn 0.606 0.211 0.459
Pm 0.375 0.750 0.750
Pm 0.903 0.806 0.394
Ag 0.800 0.600 0.901
Zn 0.394 0.789 0.959
Zn 0.658 0.317 0.750
Pm 0.903 0.806 0.106
Pm 0.097 0.194 0.606
Ag 0.200 0.400 0.401
CELL_PARAMETERS angstrom
4.671 0.000 0.000
-2.335 5.334 0.000
0.000 0.000 14.887
```

Output
Magnetic moment = 0.0000 μB per atom
Symmetry = Cmcm
Theoretical density = 7.6 Mg/m³
Relative energy among the computed polymorphs = 0.00 eV per formula unit
ΔE_f = -0.2999 eV per atom

=====

This record from Alexandria describes a geometry-optimized PmZnAg5 structure. The functional is PBE. Values from VASP.

```
&SYSTEM
  ibrav = 0, nat = 28, ntyp = 3
/
ATOMIC_SPECIES
Ag 107.87 Ag.upf
Zn 65.41 Zn.upf
Pm 145.00 Pm.upf
ATOMIC_POSITIONS crystal
Ag 0.750 0.811 0.770
Ag 0.250 0.189 0.230
Zn 0.250 0.342 0.653
Ag 0.011 0.556 0.800
Zn 0.250 0.842 0.847
Ag 0.250 0.689 0.270
Ag 0.750 0.311 0.730
Pm 0.250 0.745 0.564
Ag 0.250 0.931 0.074
Pm 0.750 0.255 0.436
Ag 0.511 0.944 0.300
Pm 0.250 0.245 0.936
Ag 0.489 0.556 0.800
Ag 0.750 0.069 0.926
Ag 0.250 0.104 0.483
Ag 0.250 0.431 0.426
Ag 0.011 0.056 0.700
Zn 0.750 0.658 0.347
Ag 0.489 0.056 0.700
Ag 0.989 0.444 0.200
Ag 0.750 0.396 0.983
Ag 0.250 0.604 0.017
Ag 0.750 0.569 0.574
Ag 0.750 0.896 0.517
Ag 0.989 0.944 0.300
Ag 0.511 0.444 0.200
Zn 0.750 0.158 0.153
Pm 0.750 0.755 0.064
CELL_PARAMETERS angstrom
-3.312 4.330 -1.626
-3.927 -5.289 -6.089
-7.539 -2.972 7.443
```

Output
Magnetic moment = 0.0000 μB per atom
Symmetry = Pnma
Theoretical density = 8.9 Mg/m³
ΔE_f = -0.1228 eV per atom

=====

This record from Alexandria describes a geometry-optimized Pm2Zn2Ag structure. The functional is PBE. Values from VASP.

```
&SYSTEM
  ibrav = 0, nat = 10, ntyp = 3
/
ATOMIC_SPECIES
Zn 65.41 Zn.upf
Pm 145.00 Pm.upf
Ag 107.87 Ag.upf
ATOMIC_POSITIONS crystal
Zn 0.602 0.432 0.364
Pm 0.161 0.720 0.958
Pm 0.839 0.280 0.042
Zn 0.398 0.568 0.636
Zn 0.504 0.134 0.858
Pm 0.903 0.814 0.380
Ag 0.230 0.265 0.274
Ag 0.770 0.735 0.726
Zn 0.496 0.866 0.142
Pm 0.097 0.186 0.620
CELL_PARAMETERS angstrom
-3.137 -3.163 -1.585
1.825 -5.712 0.735
-4.268 -3.100 7.584
```

Output
Magnetic moment = 0.0000 μB per atom
Symmetry = C2/m
Theoretical density = 7.6 Mg/m³
Relative energy among the computed polymorphs = 0.06 eV per formula unit
ΔE_f = -0.2766 eV per atom

=====

This record from Alexandria describes a geometry-optimized Pm4Zn3Ag structure. The functional is PBE. Values from VASP.

```
&SYSTEM
  ibrav = 0, nat = 8, ntyp = 3
/
ATOMIC_SPECIES
Zn 65.41 Zn.upf
Pm 145.00 Pm.upf
Ag 107.87 Ag.upf
ATOMIC_POSITIONS crystal
Zn 0.500 0.500 0.745
Zn 0.500 0.500 0.500
Pm 0.000 0.000 0.132
Pm 0.000 0.000 0.376
Zn 0.500 0.500 0.255
Ag 0.500 0.500 0.000
Pm 0.000 0.000 0.868
Pm 0.000 0.000 0.624
CELL_PARAMETERS angstrom
3.689 0.000 0.000
0.000 3.689 0.000
0.000 0.000 14.608
```

Output
Magnetic moment = 0.0002 μB per atom
Symmetry = P4/mmm
Theoretical density = 7.4 Mg/m³
Relative energy among the computed polymorphs = 0.00 eV per formula unit
ΔE_f = -0.3091 eV per atom

=====

This record from Alexandria describes a geometry-optimized Pm2Zn5Ag3 structure. The functional is PBE. Values from VASP.

```
&SYSTEM
  ibrav = 0, nat = 20, ntyp = 3
/
ATOMIC_SPECIES
Zn 65.41 Zn.upf
Pm 145.00 Pm.upf
Ag 107.87 Ag.upf
ATOMIC_POSITIONS crystal
Zn 0.369 0.268 0.993
Pm 0.876 0.372 0.876
Zn 0.497 0.753 0.753
Ag 0.874 0.766 0.485
Zn 0.750 0.500 0.500
Pm 0.624 0.124 0.628
Zn 0.003 0.247 0.247
Zn 0.131 0.007 0.732
Ag 0.374 0.485 0.766
Pm 0.124 0.628 0.124
Zn 0.503 0.247 0.247
Ag 0.250 0.000 0.000
Pm 0.376 0.876 0.372
Zn 0.997 0.753 0.753
Ag 0.126 0.234 0.515
Zn 0.869 0.993 0.268
Ag 0.750 0.000 0.000
Zn 0.631 0.732 0.007
Ag 0.626 0.515 0.234
Zn 0.250 0.500 0.500
CELL_PARAMETERS angstrom
5.966 0.000 0.000
2.983 8.219 -0.602
2.983 0.673 8.214
```

Output
Magnetic moment = 0.0000 μB per atom
Symmetry = Ibam
Theoretical density = 7.7 Mg/m³
ΔE_f = -0.2292 eV per atom

=====

This record from Alexandria describes a geometry-optimized Pm3Zn8Ag3 structure. The functional is PBE. Values from VASP.

```
&SYSTEM
  ibrav = 0, nat = 14, ntyp = 3
/
ATOMIC_SPECIES
Zn 65.41 Zn.upf
Ag 107.87 Ag.upf
Pm 145.00 Pm.upf
ATOMIC_POSITIONS crystal
Zn 0.831 0.808 0.529
Ag 0.000 0.207 0.793
Pm 0.500 0.500 0.500
Zn 0.638 0.641 0.083
Ag 0.500 0.000 0.000
Zn 0.638 0.083 0.641
Pm 0.200 0.800 0.800
Zn 0.831 0.529 0.808
Ag 0.000 0.793 0.207
Zn 0.362 0.917 0.359
Pm 0.800 0.200 0.200
Zn 0.169 0.471 0.192
Zn 0.362 0.359 0.917
Zn 0.169 0.192 0.471
CELL_PARAMETERS angstrom
4.499 0.000 0.000
2.249 8.090 0.516
2.249 2.699 7.644
```

Output
Magnetic moment = 0.0000 μB per atom
Symmetry = Immm
Theoretical density = 7.8 Mg/m³
ΔE_f = -0.3067 eV per atom

=====

This record from Alexandria describes a geometry-optimized PmZn6Ag structure. The functional is PBE. Values from VASP.

```
&SYSTEM
  ibrav = 0, nat = 8, ntyp = 3
/
ATOMIC_SPECIES
Zn 65.41 Zn.upf
Pm 145.00 Pm.upf
Ag 107.87 Ag.upf
ATOMIC_POSITIONS crystal
Zn 0.500 0.000 0.313
Zn 0.000 0.500 0.687
Pm 0.000 0.000 0.000
Zn 0.000 0.500 0.313
Ag 0.000 0.000 0.500
Zn 0.500 0.500 0.140
Zn 0.500 0.500 0.860
Zn 0.500 0.000 0.687
CELL_PARAMETERS angstrom
-0.925 -4.063 0.328
3.991 -0.972 -0.776
1.719 0.294 8.477
```

Output
Magnetic moment = 0.0000 μB per atom
Symmetry = P4/mmm
Theoretical density = 7.1 Mg/m³
ΔE_f = -0.1427 eV per atom

=====

This record from Alexandria describes a geometry-optimized Pm3Zn2Ag7 structure. The functional is PBE. Values from VASP.

```
&SYSTEM
  ibrav = 0, nat = 12, ntyp = 3
/
ATOMIC_SPECIES
Pm 145.00 Pm.upf
Zn 65.41 Zn.upf
Ag 107.87 Ag.upf
ATOMIC_POSITIONS crystal
Pm 0.143 0.143 0.572
Pm 0.857 0.857 0.428
Zn 0.333 0.333 0.001
Pm 0.000 0.000 0.000
Ag 0.581 0.581 0.759
Ag 0.419 0.419 0.241
Ag 0.500 0.500 0.500
Ag 0.419 0.922 0.241
Ag 0.922 0.419 0.241
Zn 0.667 0.667 0.999
Ag 0.078 0.581 0.759
Ag 0.581 0.078 0.759
CELL_PARAMETERS angstrom
5.721 0.000 0.000
2.860 4.954 0.000
2.860 1.651 8.964
```

Output
Magnetic moment = 0.0000 μB per atom
Symmetry = R-3m
Theoretical density = 8.6 Mg/m³
ΔE_f = -0.1980 eV per atom

=====

This record from Alexandria describes a geometry-optimized PmZnAg2 structure. The functional is PBE. Values from VASP.

```
&SYSTEM
  ibrav = 0, nat = 4, ntyp = 3
/
ATOMIC_SPECIES
Zn 65.41 Zn.upf
Ag 107.87 Ag.upf
Pm 145.00 Pm.upf
ATOMIC_POSITIONS crystal
Zn 0.500 0.500 0.000
Ag 0.000 0.000 0.798
Ag 0.000 0.000 0.202
Pm 0.500 0.500 0.500
CELL_PARAMETERS angstrom
3.392 0.000 0.000
0.000 3.392 0.000
0.000 0.000 7.227
```

Output
Magnetic moment = 0.0003 μB per atom
Symmetry = P4/mmm
Theoretical density = 8.5 Mg/m³
Relative energy among the computed polymorphs = 0.53 eV per formula unit
ΔE_f = -0.1299 eV per atom

=====

This record from Alexandria describes a geometry-optimized PmZnAg4 structure. The functional is PBE. Values from VASP.

```
&SYSTEM
  ibrav = 0, nat = 12, ntyp = 3
/
ATOMIC_SPECIES
Ag 107.87 Ag.upf
Zn 65.41 Zn.upf
Pm 145.00 Pm.upf
ATOMIC_POSITIONS crystal
Ag 0.185 0.445 0.588
Zn 0.393 0.780 0.393
Ag 0.815 0.555 0.412
Ag 0.700 0.000 0.300
Ag 0.300 0.000 0.700
Zn 0.607 0.220 0.607
Ag 0.845 0.229 0.845
Ag 0.588 0.445 0.185
Pm 0.840 0.786 0.840
Pm 0.160 0.214 0.160
Ag 0.412 0.555 0.815
Ag 0.155 0.771 0.155
CELL_PARAMETERS angstrom
6.019 0.343 2.152
1.448 6.838 1.940
0.352 0.343 6.382
```

Output
Magnetic moment = 0.0000 μB per atom
Symmetry = C2/m
Theoretical density = 8.5 Mg/m³
Relative energy among the computed polymorphs = 0.09 eV per formula unit
ΔE_f = -0.1155 eV per atom

=====

This record from Alexandria describes a geometry-optimized Pm3ZnAg3 structure. The functional is PBE. Values from VASP.

```
&SYSTEM
  ibrav = 0, nat = 14, ntyp = 3
/
ATOMIC_SPECIES
Ag 107.87 Ag.upf
Pm 145.00 Pm.upf
Zn 65.41 Zn.upf
ATOMIC_POSITIONS crystal
Ag 0.847 0.774 0.531
Ag 0.108 0.860 0.923
Ag 0.022 0.187 0.769
Ag 0.978 0.813 0.231
Pm 0.739 0.753 0.769
Zn 0.227 0.923 0.624
Pm 0.391 0.296 0.922
Pm 0.609 0.704 0.078
Ag 0.892 0.140 0.077
Ag 0.153 0.226 0.469
Zn 0.773 0.077 0.376
Pm 0.486 0.644 0.384
Pm 0.261 0.247 0.231
Pm 0.514 0.356 0.616
CELL_PARAMETERS angstrom
0.037 -0.846 3.966
2.373 -5.240 0.933
14.687 5.360 3.081
```

Output
Magnetic moment = 0.0000 μB per atom
Symmetry = C2/m
Theoretical density = 7.8 Mg/m³
ΔE_f = -0.2590 eV per atom